No. 1
ScTlFe3: relaxed, PBE.

**E_form**: 1.36 eV/atom
**Distance to the lowest polymorph of the same formula**: 0.073 eV per atom
**Total DFT energy (no corrections)**: -5.4579 eV per atom
**DOS(E_F)**: 1.783 states/eV per atom

The structure in extended XYZ format:
```
5
Lattice="4.845 0.000 0.000 0.000 4.845 0.000 0.000 0.000 4.845" Properties=species:S:1:pos:R:3 pbc="T T T"
Fe 0.000 0.000 2.422
Fe 0.000 2.422 0.000
Fe 2.422 0.000 0.000
Sc 2.422 2.422 2.422
Tl 0.000 0.000 0.000
```

---

No. 2
La4HgP: relaxed, PBE.

**E_form**: 0.20 eV/atom
**Total DFT energy (no corrections)**: -4.0351 eV per atom
**DOS(E_F)**: 1.313 states/eV per atom

The structure in extended XYZ format:
```
6
Lattice="-3.984 -4.226 -2.542 -5.450 -1.379 2.929 -5.507 1.928 -2.479" Properties=species:S:1:pos:R:3 pbc="T T T"
La -8.317 -2.065 0.658
La -8.345 -0.433 -2.011
La -5.627 -1.384 -0.788
La -7.593 -3.470 -2.042
Hg 0.000 0.000 0.000
P -11.206 -2.757 -1.569
```

---

No. 3
Tb7YEr2: relaxed, PBE.

**E_form**: 0.05 eV/atom
**Distance to the lowest polymorph of the same formula**: 0.000 eV per atom
**Total DFT energy (no corrections)**: -4.7514 eV per atom
**DOS(E_F)**: 1.732 states/eV per atom

The structure in extended XYZ format:
```
10
Lattice="5.132 1.584 -0.862 2.809 7.519 -3.791 -1.296 -0.026 9.381" Properties=species:S:1:pos:R:3 pbc="T T T"
Tb 5.982 7.646 -1.840
Tb 4.635 5.978 4.244
Tb 2.010 3.098 0.484
Tb 3.970 4.552 -2.326
Tb 0.044 1.493 2.993
Tb 6.601 7.584 1.735
Tb 0.663 1.430 6.569
Er 2.631 3.039 4.075
Er 4.015 6.037 0.653
Y 0.000 0.000 0.000
```

---

No. 4
KSn3Se: relaxed, PBE.

**Distance to the lowest polymorph of the same formula**: 0.000 eV per atom
**Total DFT energy (no corrections)**: -3.1968 eV per atom
**DOS(E_F)**: 0.722 states/eV per atom

The structure in extended XYZ format:
```
5
Lattice="5.691 0.000 0.000 0.000 5.691 0.000 0.000 0.000 5.691" Properties=species:S:1:pos:R:3 pbc="T T T"
Sn 0.000 0.000 2.845
Sn 2.845 0.000 0.000
Sn 0.000 2.845 0.000
K 2.845 2.845 2.845
Se 0.000 0.000 0.000
```

---

No. 5
Y2TcIr: relaxed, PBE.

**E_form**: -0.32 eV/atom
**Total DFT energy (no corrections)**: -8.3561 eV per atom
**DOS(E_F)**: 0.923 states/eV per atom

The structure in extended XYZ format:
```
4
Lattice="-3.396 2.482 -0.872 -0.867 -2.434 -3.549 -3.358 -4.237 1.022" Properties=species:S:1:pos:R:3 pbc="T T T"
Tc -4.643 -3.243 -1.726
Y -3.052 -0.830 -1.056
Y -3.945 -6.286 -2.522
Ir -2.318 -3.836 -1.886
```

---

No. 6
CsP3Ru: relaxed, PBE.

**E_form**: 2.88 eV/atom
**Distance to the lowest polymorph of the same formula**: 2.441 eV per atom
**Total DFT energy (no corrections)**: -2.3903 eV per atom
**DOS(E_F)**: 1.753 states/eV per atom

The structure in extended XYZ format:
```
5
Lattice="-0.981 -3.210 3.958 4.475 -2.471 -0.895 2.438 3.244 3.235" Properties=species:S:1:pos:R:3 pbc="T T T"
P 1.219 1.622 1.618
P -0.491 -1.605 1.979
P 2.237 -1.236 -0.447
Ru 2.966 -1.219 3.149
Cs 0.000 0.000 0.000
```

---

No. 7
BaSr2LaS4: relaxed, PBE.

**Total DFT energy (no corrections)**: -5.4212 eV per atom
**DOS(E_F)**: 0.401 states/eV per atom

The structure in extended XYZ format:
```
8
Lattice="4.300 0.000 0.000 0.000 7.449 -0.149 0.000 2.620 7.027" Properties=species:S:1:pos:R:3 pbc="T T T"
S 0.000 7.551 5.039
S 2.150 6.261 1.735
S 4.300 2.518 1.839
S 2.150 3.808 5.142
Sr 0.000 2.620 7.027
Sr 2.150 1.310 3.513
Ba 2.150 3.724 -0.075
La 0.000 5.034 3.439
```

---

No. 8
HfTi2Fe: relaxed, PBE.

**E_form**: -0.13 eV/atom
**Distance to the lowest polymorph of the same formula**: 0.005 eV per atom
**Total DFT energy (no corrections)**: -8.6766 eV per atom
**DOS(E_F)**: 1.335 states/eV per atom

The structure in extended XYZ format:
```
16
Lattice="5.421 0.000 0.000 0.000 5.713 0.000 0.000 0.000 8.689" Properties=species:S:1:pos:R:3 pbc="T T T"
Ti 4.558 1.772 8.224
Ti 3.573 4.629 4.810
Ti 1.848 1.084 3.879
Ti 0.863 3.941 0.465
Ti 0.863 3.941 3.879
Ti 4.558 1.772 4.810
Ti 1.848 1.084 0.465
Ti 3.573 4.629 8.224
Hf 0.764 5.581 6.517
Hf 3.474 2.988 2.172
Hf 4.657 0.132 2.172
Hf 1.947 2.725 6.517
Fe 3.340 0.570 6.517
Fe 2.081 5.143 2.172
Fe 4.792 3.427 6.517
Fe 0.629 2.286 2.172
```

---

No. 9
TbNd4Dy2: relaxed, PBE.

**E_form**: 0.06 eV/atom
**Distance to the lowest polymorph of the same formula**: 0.000 eV per atom
**Total DFT energy (no corrections)**: -4.6413 eV per atom
**DOS(E_F)**: 1.519 states/eV per atom

The structure in extended XYZ format:
```
14
Lattice="-4.318 -11.780 1.119 7.224 8.473 -5.889 3.111 0.331 6.081" Properties=species:S:1:pos:R:3 pbc="T T T"
Nd 0.886 -6.625 5.028
Nd 2.320 -1.492 -2.072
Nd 2.774 0.997 2.837
Nd 3.444 -2.084 1.231
Nd 5.532 4.092 -1.778
Nd 7.735 4.846 0.988
Nd -0.852 -7.659 2.217
Nd -0.041 -1.379 0.562
Dy 0.911 -4.612 1.645
Dy 7.923 6.777 -1.976
Dy 6.146 2.009 2.452
Dy -3.082 -9.970 0.721
Tb 3.257 -4.008 4.348
Tb 4.587 0.890 -0.444
```

---

No. 10
Pm3DyAl: relaxed, PBE.

**E_form**: 0.09 eV/atom
**Distance to the lowest polymorph of the same formula**: 0.211 eV per atom
**Total DFT energy (no corrections)**: -4.4307 eV per atom
**DOS(E_F)**: 1.122 states/eV per atom

The structure in extended XYZ format:
```
5
Lattice="-1.146 -2.603 -4.401 6.584 -6.474 2.114 -5.534 1.486 0.562" Properties=species:S:1:pos:R:3 pbc="T T T"
Pm 0.487 -1.758 0.913
Pm 4.647 -5.849 2.248
Pm -2.533 -2.832 -0.785
Al 2.464 -3.884 1.655
Dy 0.884 -5.972 0.182
```

---

No. 11
Rb2As2PbO6: relaxed, PBE.

**Total DFT energy (no corrections)**: -5.4997 eV per atom
**DOS(E_F)**: 0.000 states/eV per atom

The structure in extended XYZ format:
```
11
Lattice="-5.609 1.714 2.240 3.803 -3.608 3.486 1.848 7.160 -0.851" Properties=species:S:1:pos:R:3 pbc="T T T"
Pb -1.880 4.437 0.694
O -1.051 4.027 3.084
O 2.866 -1.425 3.488
O 1.094 1.239 1.791
O 0.223 5.759 0.171
O -2.824 6.691 1.387
O -0.181 -0.493 4.704
As 0.436 1.156 0.208
As -0.394 4.110 4.668
Rb 2.066 4.180 1.974
Rb -2.023 1.086 2.901
```

---

No. 12
SrGeIrC2: relaxed, PBE.

**E_form**: 1.32 eV/atom
**Total DFT energy (no corrections)**: -5.4004 eV per atom
**DOS(E_F)**: 0.763 states/eV per atom

The structure in extended XYZ format:
```
5
Lattice="-3.009 -2.123 -1.686 3.579 -4.974 -0.124 -1.325 -1.046 3.682" Properties=species:S:1:pos:R:3 pbc="T T T"
Sr 1.790 -2.487 -0.062
C -1.505 -1.061 -0.843
C -0.663 -0.523 1.841
Ir 0.000 0.000 0.000
Ge -0.378 -4.071 0.936
```

---

No. 13
ZnGaRh2: relaxed, PBE.

**E_form**: -0.61 eV/atom
**Distance to the lowest polymorph of the same formula**: 0.009 eV per atom
**Total DFT energy (no corrections)**: -5.3592 eV per atom
**DOS(E_F)**: 0.409 states/eV per atom

The structure in extended XYZ format:
```
4
Lattice="3.022 0.000 0.000 0.000 4.277 0.000 0.000 0.000 4.277" Properties=species:S:1:pos:R:3 pbc="T T T"
Ga 1.511 0.000 0.000
Rh 0.000 0.000 2.139
Rh 0.000 2.139 0.000
Zn 1.511 2.139 2.139
```

---

No. 14
La2YTe: relaxed, PBE.

**Total DFT energy (no corrections)**: -5.4487 eV per atom
**DOS(E_F)**: 0.948 states/eV per atom

The structure in extended XYZ format:
```
4
Lattice="6.957 -0.012 -0.002 3.567 5.973 0.002 -4.661 -4.042 3.215" Properties=species:S:1:pos:R:3 pbc="T T T"
La 0.053 0.030 0.000
La 3.416 -0.742 1.607
Te 5.173 2.930 0.000
Y 2.484 2.682 1.609
```

---

No. 15
CsHgI2F: relaxed, PBE.

**Distance to the lowest polymorph of the same formula**: 0.000 eV per atom
**Total DFT energy (no corrections)**: -2.4479 eV per atom
**DOS(E_F)**: 0.000 states/eV per atom

The structure in extended XYZ format:
```
10
Lattice="-1.613 3.488 -2.817 -2.793 -5.475 -5.180 -8.221 2.386 7.662" Properties=species:S:1:pos:R:3 pbc="T T T"
Hg -3.412 2.506 -0.989
Hg -9.215 -2.106 0.653
Cs -4.476 -1.779 -1.655
Cs -8.151 2.179 1.319
I -8.679 1.964 5.386
I -8.522 -0.542 -1.837
I -4.105 0.941 1.501
I -3.948 -1.565 -5.722
F -8.264 -0.617 1.952
F -4.363 1.016 -2.289
```

---

No. 16
CeAl4V: relaxed, PBE.

**E_form**: -0.11 eV/atom
**Total DFT energy (no corrections)**: -5.1137 eV per atom
**DOS(E_F)**: 1.394 states/eV per atom

The structure in extended XYZ format:
```
6
Lattice="5.382 0.000 0.000 2.691 4.661 0.000 2.691 1.554 4.394" Properties=species:S:1:pos:R:3 pbc="T T T"
V 0.000 0.000 0.000
Ce 2.691 1.554 1.099
Al 5.382 1.552 2.747
Al 5.382 3.107 0.547
Al 6.729 3.885 2.747
Al 4.035 3.885 2.747
```

---

No. 17
Te2IrO: relaxed, PBE.

**Total DFT energy (no corrections)**: -4.5637 eV per atom
**DOS(E_F)**: 0.735 states/eV per atom

The structure in extended XYZ format:
```
4
Lattice="4.421 2.583 7.517 5.559 -0.249 7.195 6.810 2.092 5.655" Properties=species:S:1:pos:R:3 pbc="T T T"
Ir 0.000 0.000 0.000
Te 15.150 3.994 18.377
Te 1.640 0.432 1.990
O 8.395 2.213 10.184
```

---

No. 18
Sm2PaO: relaxed, PBE.

**Total DFT energy (no corrections)**: -6.9614 eV per atom
**DOS(E_F)**: 1.169 states/eV per atom

The structure in extended XYZ format:
```
4
Lattice="-2.428 0.203 2.298 -1.470 -2.788 1.133 5.215 -1.477 8.080" Properties=species:S:1:pos:R:3 pbc="T T T"
Sm 2.985 -1.267 5.705
Sm -1.668 -2.796 5.806
O 0.658 -2.031 5.756
Pa 0.000 0.000 0.000
```

---

No. 19
Tm2CuPd4: relaxed, PBE.

**E_form**: -0.53 eV/atom
**Distance to the lowest polymorph of the same formula**: 0.165 eV per atom
**Total DFT energy (no corrections)**: -5.3618 eV per atom
**DOS(E_F)**: 0.482 states/eV per atom

The structure in extended XYZ format:
```
14
Lattice="-1.504 -7.950 -2.615 3.329 -1.956 4.033 -6.100 0.663 1.492" Properties=species:S:1:pos:R:3 pbc="T T T"
Tm 0.400 -1.068 3.016
Tm -3.172 -0.225 2.509
Tm -2.260 -5.178 3.218
Tm -2.016 -4.065 -0.307
Pd -2.514 -6.609 0.802
Pd -0.296 -6.451 -0.953
Pd 2.121 -3.455 2.372
Pd 0.457 -2.476 0.355
Pd 1.368 -7.430 1.063
Pd -1.762 -2.634 2.109
Pd -0.098 -3.612 4.125
Pd -4.178 -5.631 -1.215
Cu 0.912 -4.953 0.709
Cu 0.000 0.000 0.000
```

---

No. 20
CeHfTe3: relaxed, PBE.

**Total DFT energy (no corrections)**: -6.0826 eV per atom
**DOS(E_F)**: 1.850 states/eV per atom

The structure in extended XYZ format:
```
20
Lattice="-1.801 -0.876 3.652 -6.455 -4.848 -4.346 8.597 -12.548 1.230" Properties=species:S:1:pos:R:3 pbc="T T T"
Ce -1.584 -4.339 -0.634
Ce 1.925 -13.933 1.170
Ce 3.811 -9.551 3.152
Ce -3.470 -8.722 -2.616
Te -2.600 -10.914 -0.337
Te 2.940 -7.358 0.873
Te 1.019 -10.799 1.475
Te 0.414 -12.999 -1.726
Te 4.387 -11.664 0.554
Te 3.845 -15.814 -0.709
Te -3.505 -2.458 1.245
Te -0.099 -16.302 -0.396
Te -4.046 -6.608 -0.018
Te -0.678 -7.473 -0.939
Te -0.073 -5.273 2.262
Te 0.440 -1.970 0.932
Hf -6.512 -5.364 -0.936
Hf 6.853 -12.908 1.472
Hf 0.079 -10.154 -1.209
Hf 0.262 -8.118 1.745
```

---

No. 21
TmPuTcAu: relaxed, PBE.

**E_form**: -0.20 eV/atom
**Total DFT energy (no corrections)**: -8.3086 eV per atom
**DOS(E_F)**: 2.079 states/eV per atom

The structure in extended XYZ format:
```
4
Lattice="4.919 0.000 0.000 2.460 4.260 0.000 2.460 1.420 4.017" Properties=species:S:1:pos:R:3 pbc="T T T"
Tc 4.919 2.840 2.008
Tm 2.460 1.420 1.004
Pu 7.379 4.260 3.012
Au 0.000 0.000 0.000
```

---

No. 22
ScBeRh: relaxed, PBE.

**E_form**: -0.59 eV/atom
**Distance to the lowest polymorph of the same formula**: 0.064 eV per atom
**Total DFT energy (no corrections)**: -6.3962 eV per atom
**DOS(E_F)**: 0.449 states/eV per atom

The structure in extended XYZ format:
```
3
Lattice="5.090 0.001 -0.009 3.245 3.922 0.009 -4.164 -1.970 2.167" Properties=species:S:1:pos:R:3 pbc="T T T"
Rh 5.303 2.496 0.000
Sc 2.782 1.309 0.000
Be 0.251 0.118 0.000
```

---

No. 23
Ga2TcC: relaxed, PBE.

**E_form**: 1.28 eV/atom
**Distance to the lowest polymorph of the same formula**: 0.600 eV per atom
**Total DFT energy (no corrections)**: -5.1301 eV per atom
**DOS(E_F)**: 0.689 states/eV per atom

The structure in extended XYZ format:
```
4
Lattice="-0.653 -2.138 3.643 -3.604 0.606 2.217 -2.952 -3.087 0.166" Properties=species:S:1:pos:R:3 pbc="T T T"
Tc -3.604 -2.309 3.013
Ga -1.802 -1.155 1.506
Ga -5.407 -3.464 4.519
C 0.000 0.000 0.000
```

---

No. 24
SrAlNF2: relaxed, PBE.

**Distance to the lowest polymorph of the same formula**: 1.354 eV per atom
**Total DFT energy (no corrections)**: -4.4870 eV per atom
**DOS(E_F)**: 0.364 states/eV per atom

The structure in extended XYZ format:
```
5
Lattice="4.631 0.000 0.000 0.000 4.631 0.000 0.000 0.000 5.181" Properties=species:S:1:pos:R:3 pbc="T T T"
Al 2.316 2.316 2.591
F 2.316 0.000 0.000
F 0.000 2.316 0.000
N 0.000 0.000 2.591
Sr 0.000 0.000 0.000
```

---

No. 25
CdBi3As: relaxed, PBE.

**E_form**: 0.54 eV/atom
**Distance to the lowest polymorph of the same formula**: 0.000 eV per atom
**Total DFT energy (no corrections)**: -2.9062 eV per atom
**DOS(E_F)**: 0.821 states/eV per atom

The structure in extended XYZ format:
```
5
Lattice="5.605 0.000 0.000 0.000 5.605 0.000 0.000 0.000 5.605" Properties=species:S:1:pos:R:3 pbc="T T T"
Bi 0.000 0.000 2.802
Bi 2.802 0.000 0.000
Bi 0.000 2.802 0.000
As 0.000 0.000 0.000
Cd 2.802 2.802 2.802
```